1.
# TcPt5

TcPt5 at its PBEsol-relaxed geometry (meta-GGA SCAN, Alexandria).

Cell: 2.7262 2.7262 11.8878 Å, 90.00 90.00 90.00°
Space group P4/mmm (No. 123)
Symmetry-distinct sites (fractional):
1 Tc 0.0000 0.0000 0.0000 x1
2 Pt 0.0000 0.0000 0.3311 x2
3 Pt 0.5000 0.5000 0.1581 x2
4 Pt 0.5000 0.5000 0.5000 x1

Values from the calculation:
**Density**: 20.175 g/cm³
**D(E_F)**: 7.00 states/eV per cell
**V**: 88.3 Å³/cell
**Energy of formation from the pure elements**: -0.104 eV/atom

***

2.
# ErAgS2

ErAgS2 at its PBEsol-relaxed geometry (meta-GGA SCAN, Alexandria).

Cell: 5.3337 5.3337 11.4945 Å, 90.00 90.00 90.00°
Space group I4_1/amd (No. 141, origin choice 2)
Symmetry-distinct sites (fractional):
1 Er 0.0000 0.2500 0.3750 x4
2 Ag 0.0000 0.2500 0.8750 x4
3 S 0.0000 0.2500 0.1416 x8

Values from the calculation:
**Density**: 6.891 g/cm³
**ΔE_f (raw)**: -1.4952 eV per atom
**V**: 327.0 Å³/cell

***

Copy entry 2 word for word.
# ErAgS2

ErAgS2 at its PBEsol-relaxed geometry (meta-GGA SCAN, Alexandria).

Cell: 5.3337 5.3337 11.4945 Å, 90.00 90.00 90.00°
Space group I4_1/amd (No. 141, origin choice 2)
Symmetry-distinct sites (fractional):
1 Er 0.0000 0.2500 0.3750 x4
2 Ag 0.0000 0.2500 0.8750 x4
3 S 0.0000 0.2500 0.1416 x8

Values from the calculation:
**Density**: 6.891 g/cm³
**ΔE_f (raw)**: -1.4952 eV per atom
**V**: 327.0 Å³/cell

***

What did the second record say?
# ErAgS2

ErAgS2 at its PBEsol-relaxed geometry (meta-GGA SCAN, Alexandria).

Cell: 5.3337 5.3337 11.4945 Å, 90.00 90.00 90.00°
Space group I4_1/amd (No. 141, origin choice 2)
Symmetry-distinct sites (fractional):
1 Er 0.0000 0.2500 0.3750 x4
2 Ag 0.0000 0.2500 0.8750 x4
3 S 0.0000 0.2500 0.1416 x8

Values from the calculation:
**Density**: 6.891 g/cm³
**ΔE_f (raw)**: -1.4952 eV per atom
**V**: 327.0 Å³/cell

***

Q: The highest density belongs to which entry?
A: TcPt5

***

Q: Among the records above, which one has the lowest density?
A: ErAgS2